A PBEsol-optimized structure of Ca3Ga2Fe2O10. Source: the Alexandria database, functional meta-GGA SCAN.

Summary:
Raw formation energy, meV per atom: -2275
Total DFT energy (no corrections), hartree per atom: -0.43002
Spin magnetization, μB/atom: 0.4706
ρ, g/cm³: 4.22

Cell: 5.407 5.748 13.460 Å, 88.30 90.00 90.00°
Positions (direct):
Ca 0.273 0.950 0.115
Ca 0.226 0.052 0.889
Ca 0.229 0.032 0.589
Ca 0.774 0.552 0.389
Ca 0.771 0.532 0.089
Ca 0.727 0.450 0.615
Ga 0.182 0.585 0.752
Ga 0.818 0.085 0.252
Ga 0.688 0.899 0.755
Ga 0.312 0.399 0.255
Fe 0.267 0.511 0.995
Fe 0.258 0.522 0.498
Fe 0.733 0.011 0.495
Fe 0.742 0.022 0.998
O 0.154 0.121 0.252
O 0.958 0.237 0.481
O 0.042 0.737 0.981
O 0.283 0.433 0.865
O 0.514 0.791 0.983
O 0.486 0.264 0.023
O 0.486 0.291 0.483
O 0.728 0.918 0.141
O 0.659 0.375 0.246
O 0.846 0.621 0.752
O 0.514 0.764 0.523
O 0.230 0.559 0.137
O 0.272 0.418 0.641
O 0.341 0.875 0.746
O 0.006 0.713 0.524
O 0.717 0.933 0.365
O 0.786 0.067 0.862
O 0.994 0.213 0.024
O 0.214 0.567 0.362
O 0.770 0.059 0.637